Run one
Below is crystalline CsZnSe2Br at its relaxed geometry, with properties calculated at the PBE level.

Properties
Size of the total moment: 2.50 Bohr magnetons per cell
Space-group type: P4/mmm (123)

Cell lengths 5.904, 5.904, 6.704 Å; angles 90.00, 90.00, 90.00 degrees
Fractional coordinates of all 5 atoms:
Cs (0.000, 0.000, 0.000)
Zn (0.500, 0.500, 0.500)
Se (0.000, 0.500, 0.000)
Se (0.500, 0.000, 0.000)
Br (0.000, 0.000, 0.500)

***

Run two
Below is crystalline CsZnSe2Br at its relaxed geometry, with properties calculated at the PBE level.

Properties
Size of the total moment: 0.39 Bohr magnetons per cell
Space-group type: P4/mmm (123)

Cell lengths 4.982, 4.982, 6.212 Å; angles 90.00, 90.00, 90.00 degrees
Fractional coordinates of all 5 atoms:
Cs (0.000, 0.000, 0.000)
Zn (0.500, 0.500, 0.500)
Se (0.000, 0.500, 0.500)
Se (0.500, 0.000, 0.500)
Br (0.500, 0.500, 0.000)

***

Preferred: run two; penalty for the next structure: 1241 meV per atom.

***

Run one
Below is crystalline CsZrSe2Br at its relaxed geometry, with properties calculated at the PBE level.

Properties
Size of the total moment: 0.00 Bohr magnetons per cell
Space-group type: P4/mmm (123)

Cell lengths 5.300, 5.300, 5.609 Å; angles 90.00, 90.00, 90.00 degrees
Fractional coordinates of all 5 atoms:
Cs (0.000, 0.000, 0.000)
Zr (0.500, 0.500, 0.500)
Se (0.000, 0.500, 0.500)
Se (0.500, 0.000, 0.500)
Br (0.500, 0.500, 0.000)

***

Run two
Below is crystalline CsZrSe2Br at its relaxed geometry, with properties calculated at the PBE level.

Properties
Size of the total moment: 1.64 Bohr magnetons per cell
Space-group type: P4/mmm (123)

Cell lengths 5.697, 5.697, 6.113 Å; angles 90.00, 90.00, 90.00 degrees
Fractional coordinates of all 5 atoms:
Cs (0.000, 0.000, 0.000)
Zr (0.500, 0.500, 0.500)
Se (0.000, 0.500, 0.000)
Se (0.500, 0.000, 0.000)
Br (0.000, 0.000, 0.500)

***

Preferred: run one; penalty for the next structure: 2250 meV per atom.

***

Run one
Below is crystalline Cs2SiBr at its relaxed geometry, with properties calculated at the PBE level.

Properties
Size of the total moment: 3.00 Bohr magnetons per cell
Space-group type: Fm-3m (225)

Cell lengths 6.369, 6.369, 6.369 Å; angles 60.00, 60.00, 60.00 degrees
Fractional coordinates of all 4 atoms:
Cs (0.250, 0.250, 0.250)
Cs (0.750, 0.750, 0.750)
Si (0.000, 0.000, 0.000)
Br (0.500, 0.500, 0.500)

***

Run two
Below is crystalline Cs2SiBr at its relaxed geometry, with properties calculated at the PBE level.

Properties
Size of the total moment: 6.00 Bohr magnetons per cell
Space-group type: I-42d (122)

Cell lengths 8.707, 8.707, 8.707 Å; angles 113.44, 113.44, 101.80 degrees
Fractional coordinates of all 8 atoms:
Cs (0.106, 0.125, 0.481)
Cs (0.375, 0.894, 0.019)
Cs (0.644, 0.625, 0.519)
Cs (0.875, 0.356, 0.981)
Si (0.250, 0.750, 0.500)
Si (0.500, 0.500, 0.000)
Br (0.000, 0.000, 0.000)
Br (0.750, 0.250, 0.500)

***

Preferred: run one; penalty for the next structure: 47 meV per atom.